The following is a PBE calculation of a relaxed Pr3Dy2Tl crystal, from Alexandria via LeMat-Bulk.

Results
**Space group**: C2/m, No. 12
**Energy relative to the elements**: 36 meV/atom
**Crystal system**: monoclinic
**E above lowest polymorph**: 144 meV per atom
**E**: -51.38 eV for the cell shown

abc: 3.5237 8.7420 13.7321
angles: 77.34 82.63 78.37
With the nearest neighbours (Å) after each atom.
Fractional positions:
Pr1 0.0332 0.1634 0.7701  3 Dy 3.42-3.72, 2 Tl 3.42, 4 Pr 3.52-3.79
Pr2 0.9668 0.8366 0.2299  3 Dy 3.42-3.72, 2 Tl 3.42, 4 Pr 3.52-3.79
Pr3 0.6045 0.8378 0.9533  4 Pr 3.28-3.52, 3 Dy 3.37-3.50
Pr4 0.3955 0.1622 0.0467  4 Pr 3.28-3.52, 3 Dy 3.37-3.50
Pr5 0.7487 0.8026 0.7000  2 Tl 3.41, 4 Dy 3.48-3.55, 3 Pr 3.52
Pr6 0.2513 0.1974 0.3000  2 Tl 3.41, 4 Dy 3.48-3.55, 3 Pr 3.52
Dy1 0.8160 0.4724 0.8956  5 Pr 3.37-3.50, 4 Dy 3.46-3.52
Dy2 0.1840 0.5276 0.1044  5 Pr 3.37-3.50, 4 Dy 3.46-3.52
Dy3 0.6505 0.1699 0.5292  2 Tl 3.41-3.43, 5 Pr 3.52-3.72, 4 Dy 3.52-3.62
Dy4 0.3495 0.8301 0.4708  2 Tl 3.41-3.43, 5 Pr 3.52-3.72, 4 Dy 3.52-3.62
Tl1 0.4322 0.4874 0.6482  4 Dy 3.41-3.78, 4 Pr 3.41-3.42, 2 Tl 3.52
Tl2 0.5678 0.5126 0.3518  4 Dy 3.41-3.78, 4 Pr 3.41-3.42, 2 Tl 3.52